VASP calculation (PBE) on a geometry-optimized CuTe2N structure.

uncorrected energy: -64.8 eV per cell
ρ: 6.26 Mg/m³
size of the total moment: 0.00 μB/cell
ΔE_f (raw): 628.8 meV/atom
crystal system: tetragonal

a = 5.451 Å, b = 5.451 Å, c = 11.883 Å
α = 90.00°, β = 90.00°, γ = 90.00°
Space group I-42d (No. 122)
Asymmetric unit:
Cu 0.000 0.000 0.000 x4
Te 0.214 0.250 0.625 x8
N 0.000 0.000 0.500 x4



VASP calculation (PBE) on a geometry-optimized La12Pr5Nd2 structure.

uncorrected energy: -91.2 eV per cell
formation energy from the elements: 71 meV per atom
ρ: 6.35 Mg/m³
size of the total moment: 0.00 μB/cell
distance to the lowest polymorph of the same formula: 0.000 eV per atom
crystal system: triclinic

a = 6.521 Å, b = 9.818 Å, c = 11.774 Å
α = 68.43°, β = 82.73°, γ = 86.15°
Space group P-1 (No. 2)
Asymmetric unit:
La 0.024 0.448 0.362 x2
La 0.235 0.166 0.608 x2
La 0.241 0.559 0.042 x2
La 0.244 0.911 0.468 x2
La 0.297 0.329 0.863 x2
La 0.376 0.946 0.899 x2
Pr 0.055 0.188 0.191 x2
Pr 0.486 0.712 0.720 x2
Pr 0.500 0.500 0.500 x1
Nd 0.196 0.809 0.208 x2



VASP calculation (PBE) on a geometry-optimized YBiPbC2 structure.

uncorrected energy: -22.6 eV per cell
formation energy from the elements: 1976 meV per atom
ρ: 7.03 Mg/m³
size of the total moment: 0.01 μB/cell
crystal system: tetragonal

a = 4.538 Å, b = 4.538 Å, c = 6.065 Å
α = 90.00°, β = 90.00°, γ = 90.00°
Space group P4/mmm (No. 123)
Asymmetric unit:
Y 0.000 0.000 0.000 x1
Bi 0.500 0.500 0.000 x1
Pb 0.500 0.500 0.500 x1
C 0.000 0.500 0.500 x2